Record 1
Material: La6PdPb2
Method: DFT, GGA-PBE
State: relaxed

Properties
E_tot in eV/atom: -5.188
Magnetic moment in μB per formula unit: 0.00
Space-group type: P-62m (189)
DFT formation energy in eV per atom: -0.502

Cell: 8.7665 8.7665 4.3911 Å, 90.00 90.00 120.00°
Closest atoms and distances in Å follow each position.
Atoms (fractional coordinates):
1 La 0.0000 0.2422 0.0000  2 Pd 3.05, 2 Pb 3.39
2 La 0.0000 0.5875 0.5000  4 Pb 3.44, 1 Pd 3.62, 6 La 3.74-3.84
3 La 0.2422 0.0000 0.0000  2 Pd 3.05, 2 Pb 3.39
4 La 0.4125 0.4125 0.5000  4 Pb 3.44, 1 Pd 3.62, 6 La 3.74-3.84
5 La 0.5875 0.0000 0.5000  4 Pb 3.44, 1 Pd 3.62, 6 La 3.74-3.84
6 La 0.7578 0.7578 0.0000  2 Pd 3.05, 2 Pb 3.39
7 Pd 0.0000 0.0000 0.5000  6 La 3.05
8 Pb 0.3333 0.6667 0.0000  9 La 3.39-3.44
9 Pb 0.6667 0.3333 0.0000  9 La 3.39-3.44

***

Record 2
Material: LaPd3Pb3
Method: DFT, GGA-PBE
State: relaxed

Properties
E_tot in eV/atom: -4.919
E above lowest polymorph in meV/atom: 44
Magnetic moment in μB per formula unit: 0.00
Space-group type: R-3 (148)
DFT formation energy in eV per atom: -0.401

Cell: 7.4698 7.4698 7.4698 Å, 71.39 71.39 71.39°
Closest atoms and distances in Å follow each position.
Atoms (fractional coordinates):
1 La 0.1655 0.1655 0.1655  6 Pd 2.91-2.96
2 La 0.8345 0.8345 0.8345  6 Pd 2.91-2.96
3 Pd 0.0585 0.4411 0.8100  5 Pb 2.78-3.10, 2 La 2.91-2.96, 1 Pd 3.02
4 Pd 0.1900 0.9415 0.5589  5 Pb 2.78-3.10, 2 La 2.91-2.96, 1 Pd 3.02
5 Pd 0.4411 0.8100 0.0585  5 Pb 2.78-3.10, 2 La 2.91-2.96, 1 Pd 3.02
6 Pd 0.5589 0.1900 0.9415  5 Pb 2.78-3.10, 2 La 2.91-2.96, 1 Pd 3.02
7 Pd 0.8100 0.0585 0.4411  5 Pb 2.78-3.10, 2 La 2.91-2.96, 1 Pd 3.02
8 Pd 0.9415 0.5589 0.1900  5 Pb 2.78-3.10, 2 La 2.91-2.96, 1 Pd 3.02
9 Pb 0.1237 0.6770 0.3885  5 Pd 2.78-3.10
10 Pb 0.3230 0.6115 0.8763  5 Pd 2.78-3.10
11 Pb 0.3885 0.1237 0.6770  5 Pd 2.78-3.10
12 Pb 0.6115 0.8763 0.3230  5 Pd 2.78-3.10
13 Pb 0.6770 0.3885 0.1237  5 Pd 2.78-3.10
14 Pb 0.8763 0.3230 0.6115  5 Pd 2.78-3.10

***

Record 3
Material: La2Pd2Pb
Method: DFT, GGA-PBE
State: relaxed

Properties
E_tot in eV/atom: -5.466
E above lowest polymorph in meV/atom: 171
Magnetic moment in μB per formula unit: 0.00
Space-group type: I4/mmm (139)
DFT formation energy in eV per atom: -0.676

Cell: 5.8347 5.8347 5.8347 Å, 121.49 121.49 87.43°
Closest atoms and distances in Å follow each position.
Atoms (fractional coordinates):
1 La 0.2500 0.7500 0.5000  4 Pd 2.97
2 La 0.7500 0.2500 0.5000  4 Pd 2.97
3 Pd 0.1523 0.1523 0.0000  1 Pd 2.57
4 Pd 0.8477 0.8477 0.0000  1 Pd 2.57
5 Pb 0.5000 0.5000 0.0000  2 Pd 2.93

***

Record 4
Material: La2PdPb
Method: DFT, GGA-PBE
State: relaxed

Properties
E_tot in eV/atom: -5.242
Magnetic moment in μB per formula unit: 0.00
Space-group type: R-3m (166)
DFT formation energy in eV per atom: -0.553

Cell: 8.8613 8.8613 8.8613 Å, 27.07 27.07 27.07°
Closest atoms and distances in Å follow each position.
Atoms (fractional coordinates):
1 La 0.2367 0.2367 0.2367  3 Pd 2.99
2 La 0.7633 0.7633 0.7633  3 Pd 2.99
3 Pd 0.5000 0.5000 0.5000  6 La 2.99
4 Pb 0.0000 0.0000 0.0000  6 La 3.44

***

Record 5
Material: LaPd12Pb4
Method: DFT, GGA-PBE
State: relaxed

Properties
E_tot in eV/atom: -4.764
Magnetic moment in μB per formula unit: 0.00
Space-group type: Im-3 (204)
DFT formation energy in eV per atom: 0.064

Cell: 7.8790 7.8790 7.8790 Å, 109.47 109.47 109.47°
Closest atoms and distances in Å follow each position.
Atoms (fractional coordinates):
1 La 0.0000 0.0000 0.0000  12 Pd 3.49
2 Pd 0.1459 0.3546 0.5005  2 Pb 2.64, 2 Pd 2.65
3 Pd 0.1459 0.6454 0.7913  2 Pb 2.64, 2 Pd 2.65
4 Pd 0.2087 0.8541 0.3546  2 Pb 2.64, 2 Pd 2.65
5 Pd 0.3546 0.2087 0.8541  2 Pb 2.64, 2 Pd 2.65
6 Pd 0.3546 0.5005 0.1459  2 Pb 2.64, 2 Pd 2.65
7 Pd 0.4995 0.8541 0.6454  2 Pb 2.64, 2 Pd 2.65
8 Pd 0.5005 0.1459 0.3546  2 Pb 2.64, 2 Pd 2.65
9 Pd 0.6454 0.4995 0.8541  2 Pb 2.64, 2 Pd 2.65
10 Pd 0.6454 0.7913 0.1459  2 Pb 2.64, 2 Pd 2.65
11 Pd 0.7913 0.1459 0.6454  2 Pb 2.64, 2 Pd 2.65
12 Pd 0.8541 0.3546 0.2087  2 Pb 2.64, 2 Pd 2.65
13 Pd 0.8541 0.6454 0.4995  2 Pb 2.64, 2 Pd 2.65
14 Pb 0.0000 0.0000 0.5000  6 Pd 2.64
15 Pb 0.0000 0.5000 0.0000  6 Pd 2.64
16 Pb 0.5000 0.0000 0.0000  6 Pd 2.64
17 Pb 0.5000 0.5000 0.5000  6 Pd 2.64

***

Record 6
Material: La3Pd4Pb2
Method: DFT, GGA-PBE
State: relaxed

Properties
E_tot in eV/atom: -5.483
Magnetic moment in μB per formula unit: 0.00
Space-group type: C2/m (12)
DFT formation energy in eV per atom: -0.709

Cell: 5.6011 5.6011 9.5004 Å, 91.37 91.37 48.82°
Closest atoms and distances in Å follow each position.
Atoms (fractional coordinates):
1 La 0.0000 0.0000 0.0000  6 Pd 3.05-3.26
2 La 0.3679 0.3679 0.6179  6 Pd 2.97-3.29
3 La 0.6321 0.6321 0.3821  6 Pd 2.97-3.29
4 Pd 0.0771 0.0771 0.6195  1 Pd 2.73, 2 Pb 2.91, 1 La 2.97
5 Pd 0.2863 0.2863 0.9168  3 Pb 2.89-2.91, 2 Pd 2.91, 2 La 2.98-3.05
6 Pd 0.7137 0.7137 0.0832  3 Pb 2.89-2.91, 2 Pd 2.91, 2 La 2.98-3.05
7 Pd 0.9229 0.9229 0.3805  1 Pd 2.73, 2 Pb 2.91, 1 La 2.97
8 Pb 0.3353 0.3353 0.2175  5 Pd 2.89-2.91
9 Pb 0.6647 0.6647 0.7825  5 Pd 2.89-2.91

***

Record 7
Material: LaPd2Pb
Method: DFT, GGA-PBE
State: relaxed

Properties
E_tot in eV/atom: -5.271
Magnetic moment in μB per formula unit: 0.00
Space-group type: P4/mmm (123)
DFT formation energy in eV per atom: -0.516

Cell: 3.6495 3.6495 6.9186 Å, 90.00 90.00 90.00°
Closest atoms and distances in Å follow each position.
Atoms (fractional coordinates):
1 La 0.0000 0.0000 0.0000  8 Pd 3.13, 2 Pb 3.46
2 Pd 0.5000 0.5000 0.2552  4 Pb 3.09, 4 La 3.13, 1 Pd 3.39
3 Pd 0.5000 0.5000 0.7448  4 Pb 3.09, 4 La 3.13, 1 Pd 3.39
4 Pb 0.0000 0.0000 0.5000  8 Pd 3.09

***

Record 8
Material: La3Pd4Pb
Method: DFT, GGA-PBE
State: relaxed

Properties
E_tot in eV/atom: -5.591
Magnetic moment in μB per formula unit: 0.00
Space-group type: Immm (71)
DFT formation energy in eV per atom: -0.684

Cell: 8.6411 8.6411 8.6411 Å, 153.37 133.73 54.18°
Closest atoms and distances in Å follow each position.
Atoms (fractional coordinates):
1 La 0.0000 0.0000 0.0000  8 Pd 3.12
2 La 0.3115 0.8115 0.5000  6 Pd 3.00-3.10
3 La 0.6885 0.1885 0.5000  6 Pd 3.00-3.10
4 Pd 0.0681 0.3702 0.6979  1 Pd 2.69, 1 Pb 2.86, 2 La 3.00
5 Pd 0.3277 0.6298 0.6979  1 Pd 2.69, 1 Pb 2.86, 2 La 3.00
6 Pd 0.6723 0.3702 0.3021  1 Pd 2.69, 1 Pb 2.86, 2 La 3.00
7 Pd 0.9319 0.6298 0.3021  1 Pd 2.69, 1 Pb 2.86, 2 La 3.00
8 Pb 0.5000 0.5000 0.0000  4 Pd 2.86

***

Record 9
Material: LaPd4Pb
Method: DFT, GGA-PBE
State: relaxed

Properties
E_tot in eV/atom: -5.490
E above lowest polymorph in meV/atom: 0
Magnetic moment in μB per formula unit: 0.00
Space-group type: F-43m (216)
DFT formation energy in eV per atom: -0.589

Cell: 5.5136 5.5136 5.5136 Å, 60.00 60.00 60.00°
Closest atoms and distances in Å follow each position.
Atoms (fractional coordinates):
1 La 0.0000 0.0000 0.0000  12 Pd 3.23, 4 Pb 3.38
2 Pd 0.1261 0.6246 0.6246  6 Pd 2.75-2.76
3 Pd 0.6246 0.1261 0.6246  6 Pd 2.75-2.76
4 Pd 0.6246 0.6246 0.1261  6 Pd 2.75-2.76
5 Pd 0.6246 0.6246 0.6246  6 Pd 2.75-2.76
6 Pb 0.2500 0.2500 0.2500  12 Pd 3.23, 4 La 3.38

***

Record 10
Material: La2Pd2Pb
Method: DFT, GGA-PBE
State: relaxed

Properties
E_tot in eV/atom: -5.637
E above lowest polymorph in meV/atom: 0
Magnetic moment in μB per formula unit: 0.00
Space-group type: P4/mbm (127)
DFT formation energy in eV per atom: -0.847

Cell: 8.0656 8.0656 3.9289 Å, 90.00 90.00 90.00°
Closest atoms and distances in Å follow each position.
Atoms (fractional coordinates):
1 La 0.1774 0.3226 0.0000  6 Pd 3.00-3.15
2 La 0.3226 0.8226 0.0000  6 Pd 3.00-3.15
3 La 0.6774 0.1774 0.0000  6 Pd 3.00-3.15
4 La 0.8226 0.6774 0.0000  6 Pd 3.00-3.15
5 Pd 0.1240 0.6240 0.5000  1 Pd 2.83, 6 La 3.00-3.15
6 Pd 0.3760 0.1240 0.5000  1 Pd 2.83, 6 La 3.00-3.15
7 Pd 0.6240 0.8760 0.5000  1 Pd 2.83, 6 La 3.00-3.15
8 Pd 0.8760 0.3760 0.5000  1 Pd 2.83, 6 La 3.00-3.15
9 Pb 0.0000 0.0000 0.5000  4 Pd 3.19, 8 La 3.56
10 Pb 0.5000 0.5000 0.5000  4 Pd 3.19, 8 La 3.56

***

Record 11
Material: La3Pd3Pb
Method: DFT, GGA-PBE
State: relaxed

Properties
E_tot in eV/atom: -5.434
Magnetic moment in μB per formula unit: 0.00
Space-group type: P6_3/m (176)
DFT formation energy in eV per atom: -0.567

Cell: 9.1307 9.1307 5.8470 Å, 90.00 90.00 120.00°
Closest atoms and distances in Å follow each position.
Atoms (fractional coordinates):
1 La 0.0448 0.6837 0.2500  5 Pd 2.93-3.14
2 La 0.3163 0.3611 0.2500  5 Pd 2.93-3.14
3 La 0.3611 0.0448 0.7500  5 Pd 2.93-3.14
4 La 0.6389 0.9552 0.2500  5 Pd 2.93-3.14
5 La 0.6837 0.6389 0.7500  5 Pd 2.93-3.14
6 La 0.9552 0.3163 0.7500  5 Pd 2.93-3.14
7 Pd 0.0337 0.6869 0.7500  1 Pb 2.83, 5 La 2.93-3.14
8 Pd 0.3131 0.3468 0.7500  1 Pb 2.83, 5 La 2.93-3.14
9 Pd 0.3468 0.0337 0.2500  1 Pb 2.83, 5 La 2.93-3.14
10 Pd 0.6532 0.9663 0.7500  1 Pb 2.83, 5 La 2.93-3.14
11 Pd 0.6869 0.6532 0.2500  1 Pb 2.83, 5 La 2.93-3.14
12 Pd 0.9663 0.3131 0.2500  1 Pb 2.83, 5 La 2.93-3.14
13 Pb 0.3333 0.6667 0.7500  3 Pd 2.83
14 Pb 0.6667 0.3333 0.2500  3 Pd 2.83